The following is a PBE-GGA calculation of a relaxed LiMg6Ag crystal, from the Open Quantum Materials Database.

Cell: 4.951 6.192 5.414 Å, 90.00 90.00 90.00°
Fractional positions:
Mg1 0.000 0.753 0.165
Ag1 0.500 0.000 0.336
Li1 0.000 0.500 0.675
Mg2 0.500 0.752 0.832
Mg3 0.000 0.000 0.649
Mg4 0.500 0.500 0.344
Mg5 0.500 0.248 0.832
Mg6 0.000 0.247 0.165

Results
SG ... Pmm2, No. 25

The following is a PBE-GGA calculation of a relaxed LiMg2Ag crystal, from the Open Quantum Materials Database.

Cell: 6.532 7.000 6.528 Å, 90.00 90.00 90.00°
Fractional positions:
Li1 0.999 0.250 0.500
Mg1 0.250 0.001 0.250
Mg2 0.250 0.499 0.750
Li2 0.501 0.250 0.000
Ag1 0.499 0.750 0.500
Ag2 0.001 0.750 0.000
Mg3 0.750 0.999 0.250
Mg4 0.750 0.999 0.750
Mg5 0.750 0.501 0.250
Li3 0.001 0.750 0.500
Ag3 0.999 0.250 0.000
Mg6 0.250 0.499 0.250
Mg7 0.750 0.501 0.750
Ag4 0.501 0.250 0.500
Mg8 0.250 0.001 0.750
Li4 0.499 0.750 0.000

Results
SG ... Imma, No. 74

Number 1: excess energy over the best structure of this formula in the dataset 0.000 eV/atom, VASP energy -1.825 eV/atom. Number 2: excess energy over the best structure of this formula in the dataset 0.038 eV/atom, VASP energy -2.136 eV/atom.